Density functional theory data (SCAN) for a crystal of La2CoIr relaxed with PBEsol.

Cell lengths 4.003, 5.890, 5.890 Å; angles 39.61, 90.00, 90.00 degrees
Positions (direct):
1 La 0.000 0.000 0.000
2 La 0.500 0.284 0.284
3 Co 0.000 0.716 0.716
4 Ir 0.500 0.573 0.573

Properties
ΔE_f ... -0.385 eV/atom
Calculated density ... 9.92 g/cm3
Symmetry ... Amm2, No. 38
Raw total energy ... -44.0379 eV/atom